# KCa2As

Crystalline KCa2As at its relaxed geometry (PBE, the Alexandria database).

a b c (Å): 4.163 4.163 8.936
angles (deg): 90.00 90.00 90.00
Fractional positions:
Ca 0.000 0.000 0.916
Ca 0.500 0.500 0.182
K 0.000 0.000 0.543
As 0.500 0.500 0.860

Computed properties:
DFT formation energy = -469 meV per atom
M_tot = 0.00 μB per atom
Density = 2.08 g/cm³